Record 1
The following is a DFT calculation (PBE-GGA) of a geometry-optimized PmTl3As2O6 structure.

a = 6.097 Å, b = 6.097 Å, c = 7.370 Å
α = 90.00°, β = 90.00°, γ = 120.00°
Sites, in units of the cell vectors:
Pm 0.000 0.000 0.000
Tl 0.000 0.000 0.500
Tl 0.333 0.667 0.174
Tl 0.667 0.333 0.826
As 0.333 0.667 0.704
As 0.667 0.333 0.296
O 0.182 0.364 0.816
O 0.182 0.818 0.816
O 0.364 0.182 0.184
O 0.636 0.818 0.816
O 0.818 0.182 0.184
O 0.818 0.636 0.184

Calculated values
uncorrected formation energy	-35.55	kcal/mol of atoms
SG	P-3m1
total DFT energy (no corrections)	-5.783	eV per atom

---

Record 2
The following is a DFT calculation (PBE-GGA) of a geometry-optimized PmTlAsO5 structure.

a = 6.129 Å, b = 6.129 Å, c = 7.471 Å
α = 90.07°, β = 90.07°, γ = 106.26°
Sites, in units of the cell vectors:
Pm 0.130 0.870 0.750
Pm 0.870 0.130 0.250
Tl 0.500 0.500 0.000
Tl 0.500 0.500 0.500
As 0.228 0.772 0.250
As 0.772 0.228 0.750
O 0.117 0.880 0.071
O 0.120 0.883 0.429
O 0.157 0.478 0.251
O 0.366 0.634 0.750
O 0.478 0.157 0.751
O 0.522 0.843 0.249
O 0.634 0.366 0.250
O 0.843 0.522 0.749
O 0.880 0.117 0.571
O 0.883 0.120 0.929

Calculated values
uncorrected formation energy	-40.92	kcal/mol of atoms
SG	C2/c
total DFT energy (no corrections)	-6.344	eV per atom

---

What did the first record say?
The following is a DFT calculation (PBE-GGA) of a geometry-optimized PmTl3As2O6 structure.

a = 6.097 Å, b = 6.097 Å, c = 7.370 Å
α = 90.00°, β = 90.00°, γ = 120.00°
Sites, in units of the cell vectors:
Pm 0.000 0.000 0.000
Tl 0.000 0.000 0.500
Tl 0.333 0.667 0.174
Tl 0.667 0.333 0.826
As 0.333 0.667 0.704
As 0.667 0.333 0.296
O 0.182 0.364 0.816
O 0.182 0.818 0.816
O 0.364 0.182 0.184
O 0.636 0.818 0.816
O 0.818 0.182 0.184
O 0.818 0.636 0.184

Calculated values
uncorrected formation energy	-35.55	kcal/mol of atoms
SG	P-3m1
total DFT energy (no corrections)	-5.783	eV per atom

---

- Among the records above, which one has the highest uncorrected formation energy?
  PmTl3As2O6

---

- Which of these has the highest uncorrected formation energy?
  PmTl3As2O6

---

- Among the records above, which one has the lowest total DFT energy (no corrections)?
  PmTlAsO5